This record from OQMD describes a relaxed YTaGaCo crystal. The functional is PBE.

Lattice parameters (Å, degrees): 4.6345 4.6345 4.6345 60.00 60.00 60.00
With the nearest neighbours (Å) after each atom.
Fractional positions:
Co (0.7500, 0.7500, 0.7500)  4 Ga 2.84, 4 Ta 2.84
Ga (0.0000, 0.0000, 0.0000)  4 Co 2.84, 4 Y 2.84
Ta (0.5000, 0.5000, 0.5000)  4 Y 2.84, 4 Co 2.84
Y (0.2500, 0.2500, 0.2500)  4 Ta 2.84, 4 Ga 2.84

The total energy comes out at -6.774 eV/atom. Its density is 9.40 g/cm³. For the spin magnetization, the calculation gives 0.50 μB per atom.

=====

This record from OQMD describes a relaxed YZrSc2Sb2 crystal. The functional is PBE.

Lattice parameters (Å, degrees): 8.6299 8.6299 8.6299 151.68 151.68 40.48
With the nearest neighbours (Å) after each atom.
Fractional positions:
Sb (0.1332, 0.1332, 0.0000)  4 Sc 2.99, 1 Y 3.02, 4 Zr 3.06
Sb (0.8669, 0.8669, 0.0000)  4 Sc 3.05, 4 Y 3.08, 1 Zr 3.11
Sc (0.5027, 0.0027, 0.5000)  4 Sc 2.99, 4 Sb 2.99-3.05
Sc (0.0027, 0.5027, 0.5000)  4 Sc 2.99, 4 Sb 2.99-3.05
Y (0.3198, 0.3198, 0.0000)  5 Sb 3.02-3.08
Zr (0.6748, 0.6748, 0.0000)  5 Sb 3.06-3.11

The total energy comes out at -6.719 eV/atom. Its density is 5.91 g/cm³. For the spin magnetization, the calculation gives 0.10 μB per atom.

=====

This record from OQMD describes a relaxed AlIrNO crystal. The functional is PBE.

Lattice parameters (Å, degrees): 2.8165 5.2861 5.7776 90.00 90.00 90.00
With the nearest neighbours (Å) after each atom.
Fractional positions:
Al (0.0000, 0.5792, 0.4428)  2 O 1.82, 2 N 1.89
Al (0.0000, 0.0792, 0.5572)  2 O 1.82, 2 N 1.89
Ir (0.5000, 0.8937, 0.0303)  2 N 2.02, 1 O 2.14
Ir (0.5000, 0.3937, 0.9697)  2 N 2.02, 1 O 2.14
N (0.0000, 0.8896, 0.2799)  2 Al 1.89, 2 Ir 2.02
N (0.0000, 0.3896, 0.7201)  2 Al 1.89, 2 Ir 2.02
O (0.5000, 0.3915, 0.3404)  2 Al 1.82
O (0.5000, 0.8915, 0.6596)  2 Al 1.82

The total energy comes out at -7.304 eV/atom. Its density is 9.62 g/cm³. For the spin magnetization, the calculation gives 0.00 μB per atom.

=====

This record from OQMD describes a relaxed UTeOs crystal. The functional is PBE.

Lattice parameters (Å, degrees): 4.6697 4.6697 4.6697 60.00 60.00 60.00
With the nearest neighbours (Å) after each atom.
Fractional positions:
Os (0.2500, 0.2500, 0.2500)  4 Te 2.86
Te (0.0000, 0.0000, 0.0000)  4 U 2.86, 4 Os 2.86
U (0.7500, 0.7500, 0.7500)  4 Te 2.86

The total energy comes out at -7.760 eV/atom. Its density is 12.82 g/cm³. For the spin magnetization, the calculation gives 0.13 μB per atom.